No. 1
RbTbSnSe3, relaxed, DFT PBE; electronic total energy = -54.316 eV/cell; space-group type = Cmcm
1.0
2.069 -8.436 0.000
2.069 8.436 0.000
0.000 0.000 11.978
Rb Tb Sn Se
2 2 2 6
direct
0.190 0.810 0.750 Rb
0.810 0.190 0.250 Rb
0.500 0.500 0.000 Tb
0.500 0.500 0.500 Tb
0.112 0.888 0.250 Sn
0.888 0.112 0.750 Sn
0.116 0.884 0.007 Se
0.116 0.884 0.493 Se
0.499 0.501 0.750 Se
0.501 0.499 0.250 Se
0.884 0.116 0.507 Se
0.884 0.116 0.993 Se

No. 2
Y5AlRe3, relaxed, DFT PBE; electronic total energy = -68.731 eV/cell; space-group type = P2
1.0
5.231 0.000 0.000
0.000 8.126 0.000
-0.068 0.000 5.446
Y Al Re
5 1 3
direct
0.000 0.000 0.000 Y
0.245 0.776 0.517 Y
0.253 0.386 0.247 Y
0.747 0.386 0.753 Y
0.755 0.776 0.483 Y
0.500 0.701 0.000 Al
0.000 0.116 0.500 Re
0.000 0.656 0.000 Re
0.500 0.100 0.500 Re

No. 3
DyHoNi8B2, relaxed, DFT PBE; energy above the most stable polymorph in this dataset = 0 meV per atom; electronic total energy = -73.075 eV/cell; space-group type = P6/mmm
1.0
4.972 0.000 0.000
-2.486 4.306 0.000
0.000 0.000 6.965
Dy Ho Ni B
1 1 8 2
direct
0.000 0.000 0.000 Dy
0.000 0.000 0.500 Ho
0.000 0.500 0.292 Ni
0.000 0.500 0.708 Ni
0.333 0.667 0.000 Ni
0.500 0.000 0.292 Ni
0.500 0.000 0.708 Ni
0.500 0.500 0.292 Ni
0.500 0.500 0.708 Ni
0.667 0.333 0.000 Ni
0.333 0.667 0.500 B
0.667 0.333 0.500 B

Which value of electronic total energy does entry 1 give?
-54.316 eV/cell

What is the formula in the first record?
RbTbSnSe3

Which formula does entry 1 have?
RbTbSnSe3

Among the records above, which one has the lowest electronic total energy?
DyHoNi8B2